1.
The following is a GGA-PBE calculation of an optimized crystal structure of Sr3Se, from Alexandria via LeMat-Bulk.

## Properties
As for the crystal system: orthorhombic. The formation energy (no corrections) comes out at -801 meV per atom. The raw total energy is -2.93 eV per atom. The space group is Immm (71). The calculation puts the distance to the lowest polymorph of the same formula at 109 meV per atom.

Unit cell a=7.4955 b=7.4955 c=7.4955 alpha=148.48 beta=130.23 gamma=60.11
Fractional positions:
Se1 0.0000 0.0000 0.0000
Sr1 0.1831 0.6831 0.5000
Sr2 0.5000 0.5000 0.0000
Sr3 0.8169 0.3169 0.5000

2.
The following is a GGA-PBE calculation of an optimized crystal structure of Rb2PuPt2O6, from Alexandria via LeMat-Bulk.

## Properties
As for the crystal system: monoclinic. The formation energy (no corrections) comes out at -1360 meV per atom. The raw total energy is -6.64 eV per atom. The space group is C2/m (12).

Unit cell a=6.0914 b=6.0914 c=11.0771 alpha=117.00 beta=117.00 gamma=113.58
Fractional positions:
O1 0.9405 0.2129 0.3892
O2 0.4878 0.4878 0.7816
O3 0.5122 0.5122 0.2184
O4 0.7871 0.0595 0.6108
O5 0.2129 0.9405 0.3892
O6 0.0595 0.7871 0.6108
Pt1 0.6264 0.3736 0.5000
Pt2 0.3736 0.6264 0.5000
Rb1 0.7923 0.2077 0.0000
Rb2 0.2077 0.7923 0.0000
Pu1 0.0000 0.0000 0.5000

3.
The following is a GGA-PBE calculation of an optimized crystal structure of LiHg2H2, from Alexandria via LeMat-Bulk.

## Properties
As for the crystal system: tetragonal. The raw total energy is -1.85 eV per atom. The space group is I4/mmm (139). The calculation puts the distance to the lowest polymorph of the same formula at 64 meV per atom.

Unit cell a=4.9592 b=4.9592 c=5.0226 alpha=60.42 beta=60.42 gamma=90.00
Fractional positions:
H1 0.5533 0.5533 0.8934
H2 0.4467 0.4467 0.1066
Hg1 0.7500 0.2500 0.5000
Hg2 0.2500 0.7500 0.5000
Li1 0.0000 0.0000 0.0000

4.
The following is a GGA-PBE calculation of an optimized crystal structure of FeCu5Cl12, from Alexandria via LeMat-Bulk.

## Properties
As for the crystal system: monoclinic. The formation energy (no corrections) comes out at -538 meV per atom. The raw total energy is -3.38 eV per atom. The space group is C2/m (12).

Unit cell a=7.0306 b=6.1391 c=12.8658 alpha=97.64 beta=103.43 gamma=55.07
Fractional positions:
Cl1 0.4855 0.3332 0.6100
Cl2 0.1126 0.6613 0.1173
Cl3 0.8875 0.3387 0.8827
Cl4 0.7738 0.3387 0.1173
Cl5 0.1812 0.3332 0.3900
Cl6 0.8188 0.6668 0.6100
Cl7 0.3691 0.0000 0.0879
Cl8 0.1521 0.0000 0.6102
Cl9 0.6309 0.0000 0.9121
Cl10 0.8479 0.0000 0.3898
Cl11 0.5145 0.6668 0.3900
Cl12 0.2262 0.6613 0.8827
Cu1 0.6704 0.6592 0.0000
Cu2 0.8332 0.3335 0.5000
Cu3 0.1668 0.6665 0.5000
Cu4 0.3296 0.3408 0.0000
Cu5 0.5000 0.0000 0.5000
Fe1 0.0000 0.0000 0.0000

5.
The following is a GGA-PBE calculation of an optimized crystal structure of Ac2Tb6Ho3, from Alexandria via LeMat-Bulk.

## Properties
As for the crystal system: monoclinic. Its formation energy is 2.04 eV per formula unit. The raw total energy is -4.34 eV per atom. The space group is C2/m (12).

Unit cell a=6.1956 b=6.1986 c=12.0187 alpha=85.04 beta=80.04 gamma=60.02
Fractional positions:
Tb1 0.0803 0.3330 0.7609
Tb2 0.5868 0.3330 0.2391
Tb3 0.9197 0.6670 0.2391
Tb4 0.4132 0.6670 0.7609
Tb5 0.2539 0.0000 0.2394
Tb6 0.7461 0.0000 0.7606
Ho1 0.0000 0.0000 0.0000
Ho2 0.3348 0.3304 0.0000
Ho3 0.6652 0.6696 0.0000
Ac1 0.1668 0.6663 0.5000
Ac2 0.8332 0.3337 0.5000

6.
The following is a GGA-PBE calculation of an optimized crystal structure of Y2CrNi2, from Alexandria via LeMat-Bulk.

## Properties
As for the crystal system: tetragonal. Its formation energy is 0.20 eV per formula unit. The raw total energy is -6.78 eV per atom. The space group is P4/mbm (127).

Unit cell a=6.4515 b=6.4515 c=4.3804 alpha=90.00 beta=90.00 gamma=90.00
Fractional positions:
Y1 0.3209 0.1791 0.5000
Y2 0.1791 0.6791 0.5000
Y3 0.6791 0.8209 0.5000
Y4 0.8209 0.3209 0.5000
Cr1 0.0000 0.0000 0.0000
Cr2 0.5000 0.5000 0.0000
Ni1 0.8656 0.6344 0.0000
Ni2 0.3656 0.8656 0.0000
Ni3 0.6344 0.1344 0.0000
Ni4 0.1344 0.3656 0.0000

| no. | calculated volume (Å³ per cell) | total magnetization (μB per formula unit) |
| --- | --- | --- |
| 1 | 166.6 | 0.0 |
| 2 | 210.7 | 0.3 |
| 3 | 88.4 | 0.0 |
| 4 | 442.8 | 9.0 |
| 5 | 393.8 | 0.0 |
| 6 | 182.3 | 0.0 |